An optimized crystal structure of Ba2LiCrO4, computed with GGA+U.

Unit cell a=5.9866 b=5.9866 c=7.2458 alpha=90.00 beta=90.00 gamma=90.00
Last column: nearest neighbours and their distance in Å.
Space group I-4 (No. 82)
Inequivalent atoms, fractional coordinates:
Ba 0.0000 0.0000 0.0000 [2 per cell]  4 O 2.68
Ba 0.0000 0.5000 0.2500 [2 per cell]  4 O 2.67
Li 0.0000 0.5000 0.7500 [2 per cell]  4 O 2.07
Cr 0.0000 0.0000 0.5000 [2 per cell]  4 O 1.93
O 0.1627 0.2414 0.6148 [8 per cell]  1 Cr 1.93, 1 Li 2.07

E_tot = -98.3 eV per cell
Calculated volume = 16.2 A^3/atom
Magnetic moment = 3.00 μB/f.u.